Here is a relaxed structure of Rb3DyNp2Te6 from Alexandria. Energies are from PBE.

Cell and atoms, written as CIF:
```
data_Rb3DyNp2Te6
_cell_length_a 7.926
_cell_length_b 13.730
_cell_length_c 8.942
_cell_angle_alpha 90.00
_cell_angle_beta 107.19
_cell_angle_gamma 90.00
_space_group_name_H-M_alt 'C 1 2/m 1'
_space_group_IT_number 12
_space_group_name_Hall '-C 2y'
loop_
_atom_site_label
_atom_site_type_symbol
_atom_site_fract_x
_atom_site_fract_y
_atom_site_fract_z
Rb1 Rb 0.000 0.000 0.000
Rb2 Rb 0.000 0.333 0.000
Dy1 Dy 0.000 0.500 0.500
Np1 Np 0.000 0.167 0.500
Te1 Te 0.232 0.335 0.700
Te2 Te 0.237 0.000 0.700
```

Computed properties:
Total DFT energy (no corrections) = -0.198 hartree per atom
N(E_F) = 1.50 states/eV/atom
Formation energy without anion corrections = -1.042 eV per atom